Record 1
MgCo2Os2 after structural relaxation, computed with GGA-PBE.

Lattice parameters (Å, degrees): 5.809 5.809 5.809 141.71 141.71 55.26
Last column: magnetic moment on the atom in μB.
Fractional coordinates of all 5 atoms:
Os: 0.250 0.750 0.500  0.09
Co: 0.397 0.397 0.000  0.65
Co: 0.603 0.603 0.000  0.65
Mg: 0.000 0.000 0.000  -0.01
Os: 0.750 0.250 0.500  0.09

Excess energy over the best structure of this formula in the dataset   138 meV/atom
Crystal system   tetragonal


Record 2
MgCoOs2 after structural relaxation, computed with GGA-PBE.

Lattice parameters (Å, degrees): 4.290 4.290 4.290 60.00 60.00 60.00
Last column: magnetic moment on the atom in μB.
Fractional coordinates of all 4 atoms:
Os: 0.000 0.000 0.000  0.03
Os: 0.750 0.750 0.750  0.43
Mg: 0.250 0.250 0.250  -0.01
Co: 0.500 0.500 0.500  1.55

Crystal system   cubic


Record 3
MgCoOs2 after structural relaxation, computed with GGA-PBE.

Lattice parameters (Å, degrees): 7.327 7.327 5.693 49.94 49.94 90.00
Last column: magnetic moment on the atom in μB.
Fractional coordinates of all 8 atoms:
Os: 0.375 0.309 0.750  0.11
Os: 0.059 0.625 0.250  0.12
Co: 0.000 0.000 0.000  0.57
Os: 0.875 0.941 0.750  0.13
Co: 0.750 0.250 0.500  0.57
Mg: 0.500 0.500 0.000  0.00
Os: 0.691 0.125 0.250  0.11
Mg: 0.250 0.750 0.500  0.00

Crystal system   tetragonal


Record 4
MgCo2Os after structural relaxation, computed with GGA-PBE.

Lattice parameters (Å, degrees): 4.450 4.450 4.809 82.92 82.92 34.35
Last column: magnetic moment on the atom in μB.
Fractional coordinates of all 4 atoms:
Mg: 0.250 0.250 0.250  -0.01
Co: 0.007 0.007 0.967  0.88
Co: 0.493 0.493 0.533  0.88
Os: 0.750 0.750 0.750  0.03

Crystal system   monoclinic


Record 5
MgCoOs2 after structural relaxation, computed with GGA-PBE.

Lattice parameters (Å, degrees): 4.077 3.700 3.700 90.00 90.00 90.00
Last column: magnetic moment on the atom in μB.
Fractional coordinates of all 4 atoms:
Os: 0.000 0.500 0.500  0.10
Mg: 0.500 0.000 0.500  -0.01
Os: 0.000 0.000 0.000  0.10
Co: 0.500 0.500 0.000  0.66

Crystal system   tetragonal


Record 6
MgCoOs2 after structural relaxation, computed with GGA-PBE.

Lattice parameters (Å, degrees): 4.364 2.706 4.884 80.81 90.00 90.00
Last column: magnetic moment on the atom in μB.
Fractional coordinates of all 4 atoms:
Os: 0.000 0.061 0.013  0.20
Os: 0.000 0.439 0.487  0.20
Co: 0.500 0.250 0.250  1.40
Mg: 0.500 0.750 0.750  -0.01

Crystal system   monoclinic


| no. | calculated formation energy (eV/atom) | energy (eV per cell) |
| --- | --- | --- |
| 1 | 0.3887 | -36.32 |
| 2 | 0.2683 | -30.09 |
| 3 | 0.6811 | -56.87 |
| 4 | 0.2551 | -26.02 |
| 5 | 0.3884 | -29.61 |
| 6 | 0.3296 | -29.84 |